No. 1
This record from the Alexandria database describes a relaxed structure of Rb2LiAu2. The functional is PBE.

The space group is P4/mbm (No. 127) and the conventional cell measures 7.729, 7.729 and 5.419 Å, with angles of 90.00, 90.00 and 90.00 degrees. Symmetry generates all atoms from Rb at (0.169, 0.331, 0.000), Li at (0.000, 0.000, 0.500) and Au at (0.134, 0.634, 0.500).

The uncorrected energy is -2.256 eV per atom. The calculation puts the distance to the lowest polymorph of the same formula at 0.1031 eV per atom. For the formation enthalpy at 0 K, the calculation gives -0.876 eV/f.u.

No. 2
This record from the Alexandria database describes a relaxed structure of RbLiAu2. The functional is PBE.

The space group is P4/mmm (No. 123) and the conventional cell measures 3.468, 3.468 and 7.958 Å, with angles of 90.00, 90.00 and 90.00 degrees. Symmetry generates all atoms from Rb at (0.000, 0.000, 0.000), Li at (0.000, 0.000, 0.500) and Au at (0.500, 0.500, 0.319).

The uncorrected energy is -2.633 eV per atom. The calculation puts the distance to the lowest polymorph of the same formula at 0.1012 eV per atom. For the formation enthalpy at 0 K, the calculation gives -1.097 eV/f.u.

No. 3
This record from the Alexandria database describes a relaxed structure of Rb3Li2Au9. The functional is PBE.

The space group is Immm (No. 71) and the conventional cell measures 4.663, 11.629 and 13.846 Å, with angles of 90.00, 90.00 and 90.00 degrees. Symmetry generates all atoms from Rb at (0.000, 0.000, 0.000), Rb at (0.000, 0.000, 0.287), Li at (0.000, 0.202, 0.500), Au at (0.000, 0.282, 0.307), Au at (0.000, 0.289, 0.101) and Au at (0.000, 0.500, 0.000).

The uncorrected energy is -2.880 eV per atom. For the formation enthalpy at 0 K, the calculation gives -4.099 eV/f.u.

No. 4
This record from the Alexandria database describes a relaxed structure of Rb2LiAu2. The functional is PBE.

The space group is C2/m (No. 12) and the conventional cell measures 12.201, 5.031 and 11.955 Å, with angles of 90.00, 118.72 and 90.00 degrees. Symmetry generates all atoms from Rb at (0.088, 0.000, 0.393), Rb at (0.173, 0.500, 0.182), Li at (0.164, 0.500, 0.883), Au at (0.087, 0.000, 0.947) and Au at (0.112, 0.500, 0.625).

The uncorrected energy is -2.359 eV per atom. The calculation puts the distance to the lowest polymorph of the same formula at 0.0000 eV per atom. For the formation enthalpy at 0 K, the calculation gives -1.391 eV/f.u.

No. 5
This record from the Alexandria database describes a relaxed structure of RbLi3Au. The functional is PBE.

The space group is Pm-3m (No. 221) and the conventional cell measures 5.246, 5.246 and 5.246 Å, with angles of 90.00, 90.00 and 90.00 degrees. Symmetry generates all atoms from Rb at (0.000, 0.000, 0.000), Li at (0.000, 0.500, 0.500) and Au at (0.500, 0.500, 0.500).

The uncorrected energy is -2.133 eV per atom. The calculation puts the distance to the lowest polymorph of the same formula at 0.0000 eV per atom. For the formation enthalpy at 0 K, the calculation gives -0.678 eV/f.u.

No. 6
This record from the Alexandria database describes a relaxed structure of RbLiAu3. The functional is PBE.

The space group is Pm-3m (No. 221) and the conventional cell measures 6.154, 6.154 and 6.154 Å, with angles of 90.00, 90.00 and 90.00 degrees. Symmetry generates all atoms from Rb at (0.000, 0.000, 0.000), Li at (0.500, 0.500, 0.500) and Au at (0.000, 0.000, 0.500).

The uncorrected energy is -1.695 eV per atom. The calculation puts the distance to the lowest polymorph of the same formula at 0.8763 eV per atom. For the formation enthalpy at 0 K, the calculation gives 4.238 eV/f.u.

No. 7
This record from the Alexandria database describes a relaxed structure of RbLi3Au. The functional is PBE.

The space group is Pm-3m (No. 221) and the conventional cell measures 4.979, 4.979 and 4.979 Å, with angles of 90.00, 90.00 and 90.00 degrees. Symmetry generates all atoms from Rb at (0.000, 0.000, 0.000), Li at (0.000, 0.000, 0.500) and Au at (0.500, 0.500, 0.500).

The uncorrected energy is -1.174 eV per atom. The calculation puts the distance to the lowest polymorph of the same formula at 0.9589 eV per atom. For the formation enthalpy at 0 K, the calculation gives 4.116 eV/f.u.

No. 8
This record from the Alexandria database describes a relaxed structure of RbLiAu2. The functional is PBE.

The space group is Fm-3m (No. 225) and the conventional cell measures 7.586, 7.586 and 7.586 Å, with angles of 90.00, 90.00 and 90.00 degrees. Symmetry generates all atoms from Rb at (0.000, 0.000, 0.000), Li at (0.000, 0.000, 0.500) and Au at (0.250, 0.250, 0.250).

The uncorrected energy is -2.434 eV per atom. The calculation puts the distance to the lowest polymorph of the same formula at 0.3008 eV per atom. For the formation enthalpy at 0 K, the calculation gives -0.299 eV/f.u.